# 1
Compound: PmGdBi
Source: Alexandria
Functional: PBE-GGA
Structure: optimized geometry

Output
Energy of formation   -0.538 eV per atom
Crystal system   tetragonal
Excess energy over the best structure of this formula in the dataset   0 meV per atom

a = 4.1411 Å, b = 4.1411 Å, c = 6.1229 Å
α = 109.77°, β = 109.77°, γ = 90.00°
Last column: magnetic moment on the atom in μB.
Element x y z (fractional)
Bi 0.6146 0.6146 0.2291  -0.04
Gd 0.9615 0.9615 0.9230  7.30
Pm 0.2739 0.2739 0.5479  0.23

---

# 2
Compound: PmGdBi2
Source: Alexandria
Functional: PBE-GGA
Structure: optimized geometry

Output
Energy of formation   -0.924 eV per atom
Crystal system   trigonal
Excess energy over the best structure of this formula in the dataset   0 meV per atom

a = 4.5483 Å, b = 4.5483 Å, c = 7.8762 Å
α = 73.22°, β = 73.22°, γ = 60.00°
Last column: magnetic moment on the atom in μB.
Element x y z (fractional)
Gd 0.0000 0.0000 0.0000  6.99
Pm 0.5000 0.5000 0.5000  -0.01
Bi 0.7484 0.7484 0.7550  -0.02
Bi 0.2516 0.2516 0.2450  -0.02

---

# 3
Compound: PmGdBi
Source: Alexandria
Functional: PBE-GGA
Structure: optimized geometry

Output
Energy of formation   -0.310 eV per atom
Crystal system   trigonal
Excess energy over the best structure of this formula in the dataset   228 meV per atom

a = 3.9509 Å, b = 5.3249 Å, c = 5.3249 Å
α = 120.00°, β = 90.00°, γ = 90.00°
Last column: magnetic moment on the atom in μB.
Element x y z (fractional)
Gd 0.5904 0.3333 0.6667  -7.15
Pm 0.0516 0.0000 0.0000  -0.08
Bi 0.3580 0.6667 0.3333  0.04

---

# 4
Compound: PmGdBi2
Source: Alexandria
Functional: PBE-GGA
Structure: optimized geometry

Output
Energy of formation   -0.689 eV per atom
Crystal system   cubic
Excess energy over the best structure of this formula in the dataset   234 meV per atom

a = 5.5672 Å, b = 5.5672 Å, c = 5.5672 Å
α = 60.00°, β = 60.00°, γ = 60.00°
Last column: magnetic moment on the atom in μB.
Element x y z (fractional)
Gd 0.5000 0.5000 0.5000  -7.15
Pm 0.0000 0.0000 0.0000  -0.13
Bi 0.7500 0.7500 0.7500  0.04
Bi 0.2500 0.2500 0.2500  0.04

---

# 5
Compound: PmGdBi2
Source: Alexandria
Functional: PBE-GGA
Structure: optimized geometry

Output
Energy of formation   -0.688 eV per atom
Crystal system   tetragonal
Excess energy over the best structure of this formula in the dataset   235 meV per atom

a = 3.8388 Å, b = 3.8388 Å, c = 8.2455 Å
α = 90.00°, β = 90.00°, γ = 90.00°
Last column: magnetic moment on the atom in μB.
Element x y z (fractional)
Gd 0.5000 0.5000 0.0000  7.18
Pm 0.5000 0.5000 0.5000  0.11
Bi 0.0000 0.0000 0.7534  -0.04
Bi 0.0000 0.0000 0.2466  -0.04

---

# 6
Compound: PmGdBiPt
Source: Alexandria
Functional: PBE-GGA
Structure: optimized geometry

Output
Energy of formation   -0.781 eV per atom
Crystal system   cubic

a = 5.2966 Å, b = 5.2966 Å, c = 5.2966 Å
α = 60.00°, β = 60.00°, γ = 60.00°
Last column: magnetic moment on the atom in μB.
Element x y z (fractional)
Pt 0.7500 0.7500 0.7500  0.03
Gd 0.5000 0.5000 0.5000  7.14
Pm 0.0000 0.0000 0.0000  0.18
Bi 0.2500 0.2500 0.2500  -0.05